No. 1
{"formula": "DyPu2Mn", "functional": "GGA-PBE", "state": "relaxed", "dos_ef_per_ev_atom": 3.634, "relative_energy_mev_per_atom": 267, "rho_g_cm3": 12.2, "lattice": [[5.1584, 0.0000, 0.0000], [0.0000, 4.3202, 0.0000], [0.0000, 0.0000, 4.3202]], "species": ["Pu", "Pu", "Dy", "Mn"], "fractional_positions": [[0.0000, 0.0000, 0.5000], [0.0000, 0.5000, 0.0000], [0.5000, 0.5000, 0.5000], [0.5000, 0.0000, 0.0000]]}

---

No. 2
{"formula": "DyPu2Mn2", "functional": "GGA-PBE", "state": "relaxed", "dos_ef_per_ev_atom": 1.932, "energy_ev_per_atom": -10.156, "rho_g_cm3": 12.0, "lattice": [[4.6118, -0.2839, 1.3860], [-0.0874, 3.8805, 1.0734], [0.6830, 0.1237, 6.1492]], "species": ["Mn", "Mn", "Pu", "Pu", "Dy"], "fractional_positions": [[0.3913, 0.3167, 0.2189], [0.6087, 0.6833, 0.7811], [0.7192, 0.2317, 0.5618], [0.2808, 0.7683, 0.4382], [0.0000, 0.0000, 0.0000]]}

---

No. 3
{"formula": "DyPuMn4", "functional": "GGA-PBE", "state": "relaxed", "dos_ef_per_ev_atom": 1.046, "energy_ev_per_atom": -9.085, "rho_g_cm3": 11.4, "lattice": [[-1.4174, -4.5686, 1.6346], [3.0797, -3.9643, -0.5934], [2.2684, -2.0623, 4.0192]], "species": ["Mn", "Mn", "Mn", "Mn", "Pu", "Dy"], "fractional_positions": [[0.6255, 0.6255, 0.1236], [0.1236, 0.6255, 0.6255], [0.6255, 0.6255, 0.6255], [0.6255, 0.1236, 0.6255], [0.0000, 0.0000, 0.0000], [0.2500, 0.2500, 0.2500]]}

---

No. 4
{"formula": "Dy2PuMn2", "functional": "GGA-PBE", "state": "relaxed", "dos_ef_per_ev_atom": 1.393, "energy_ev_per_atom": -8.346, "rho_g_cm3": 10.0, "lattice": [[3.6149, -0.2926, 2.1496], [1.4044, 3.2962, 2.2210], [1.3324, 0.6146, 10.2502]], "species": ["Mn", "Mn", "Dy", "Dy", "Pu"], "fractional_positions": [[0.2513, 0.2517, 0.0819], [0.7487, 0.7483, 0.9181], [0.3478, 0.3480, 0.3188], [0.6522, 0.6520, 0.6812], [0.0000, 0.0000, 0.0000]]}

---

Which formula does entry 1 have?
DyPu2Mn